VASP calculation (PBE+U) on a relaxed V2CdP2O10 crystal.

a b c (Å): 5.2449 8.1046 17.4592
angles (deg): 90.00 93.04 90.00
Last column: nearest neighbours and their distance in Å.
Space group P2_1/c (No. 14)
Unique sites:
V: 0.0367 0.0374 0.1474 (multiplicity 4)  1 O 1.68
V: 0.3371 0.6244 0.9313 (multiplicity 4)  1 O 1.66
Cd: 0.4150 0.2279 0.3178 (multiplicity 4)  4 O 2.23-2.33
P: 0.1420 0.2332 0.9845 (multiplicity 4)  4 O 1.53-1.58
P: 0.1698 0.0642 0.6852 (multiplicity 4)  4 O 1.54-1.57
O: 0.0778 0.5111 0.8594 (multiplicity 4)  1 P 1.54
O: 0.1160 0.6779 0.0157 (multiplicity 4)  1 P 1.53
O: 0.1746 0.1453 0.9054 (multiplicity 4)  1 P 1.57
O: 0.1774 0.1089 0.0500 (multiplicity 4)  1 P 1.53
O: 0.1821 0.2458 0.2007 (multiplicity 4)  1 P 1.56
O: 0.1992 0.5213 0.2639 (multiplicity 4)  1 P 1.54
O: 0.2662 0.5905 0.6818 (multiplicity 4)  1 V 1.68
O: 0.2865 0.6934 0.3897 (multiplicity 4)  1 V 1.66
O: 0.3636 0.1351 0.4890 (multiplicity 4)  1 P 1.58
O: 0.4117 0.0129 0.6419 (multiplicity 4)  1 P 1.57

## Properties
density	3910	kg/m3
final energy	-106.4	eV per formula unit
energy above the most stable polymorph in this dataset	0.000	eV/atom